# 1
Computed, not measured: a crystal of CoAs relaxed with PBEsol at the meta-GGA SCAN level of DFT.

Lattice parameters (Å, degrees): 2.943 2.943 2.943 90.00 90.00 90.00
Each line ends with the local moment (μB).
Fractional coordinates of all 2 atoms:
As1 0.000 0.000 0.000  0.02
Co1 0.500 0.500 0.500  1.30

Calculated values
Space-group type = Pm-3m, No. 221
Formation enthalpy at 0 K = 0.14 eV per atom
Uncorrected energy = -37.209 eV/cell
D(E_F) = 0.4351 states/eV per atom

---

# 2
Computed, not measured: a crystal of Zr2ScAu relaxed with PBEsol at the meta-GGA SCAN level of DFT.

Lattice parameters (Å, degrees): 4.816 4.816 4.816 60.00 60.00 60.00
Each line ends with the local moment (μB).
Fractional coordinates of all 4 atoms:
Zr1 0.000 0.000 0.000  1.08
Sc1 0.250 0.250 0.250  0.24
Au1 0.500 0.500 0.500  0.01
Zr2 0.750 0.750 0.750  0.28

Calculated values
Space-group type = F-43m, No. 216
Formation enthalpy at 0 K = -0.31 eV per atom
Uncorrected energy = -146.044 eV/cell
D(E_F) = 1.0517 states/eV per atom

---

# 3
Computed, not measured: a crystal of Pr2Bi relaxed with PBEsol at the meta-GGA SCAN level of DFT.

Lattice parameters (Å, degrees): 4.586 4.586 9.595 103.82 103.82 90.00
Fractional coordinates of all 6 atoms:
Bi1 0.861 0.861 0.723
Pr1 0.680 0.680 0.359
Pr2 0.500 0.000 0.000
Pr3 0.000 0.500 0.000
Bi2 0.139 0.139 0.277
Pr4 0.320 0.320 0.641

Calculated values
Space-group type = I4/mmm, No. 139
Formation enthalpy at 0 K = -0.82 eV per atom
Uncorrected energy = -335.406 eV/cell
D(E_F) = 1.1887 states/eV per atom